Below is a relaxed Mg7In4Ag crystal, with properties calculated at the GGA-PBE level.

a = 5.2666 Å, b = 8.8318 Å, c = 7.3009 Å
α = 83.06°, β = 68.86°, γ = 72.65°
With the nearest neighbours (Å) after each atom.
Atoms (fractional coordinates):
Mg: 0.0693 0.6933 0.1681  1 Ag 2.81, 5 In 3.00-3.13, 1 Mg 3.09
In: 0.2887 0.3466 0.0759  8 Mg 2.98-3.13, 1 In 3.19
In: 0.5721 0.2171 0.6387  8 Mg 2.92-3.11, 1 In 3.19
Mg: 0.7838 0.8700 0.5625  4 In 2.98-3.06, 2 Mg 3.09-3.19
In: 0.7113 0.6534 0.9241  8 Mg 2.98-3.13, 1 In 3.19
Mg: 0.3531 0.5802 0.7135  5 In 2.92-3.13, 2 Mg 3.23-3.25
Ag: 0.0000 0.0000 0.0000  4 Mg 2.63-2.81
Mg: 0.2162 0.1300 0.4375  4 In 2.98-3.06, 2 Mg 3.09-3.19
Mg: 0.6469 0.4198 0.2865  5 In 2.92-3.13, 2 Mg 3.23-3.25
In: 0.4279 0.7829 0.3613  8 Mg 2.92-3.11, 1 In 3.19
Mg: 0.9307 0.3067 0.8319  1 Ag 2.81, 5 In 3.00-3.13, 1 Mg 3.09
Mg: 0.5000 0.0000 0.0000  2 Ag 2.63

Computed properties:
raw total energy: -24.5 eV for the cell shown

***

Below is a relaxed Mg4In2Ag3 crystal, with properties calculated at the GGA-PBE level.

a = 4.4676 Å, b = 5.2274 Å, c = 8.9068 Å
α = 76.00°, β = 89.90°, γ = 65.62°
With the nearest neighbours (Å) after each atom.
Atoms (fractional coordinates):
In: 0.6929 0.6221 0.2349  5 Ag 2.98-3.29, 7 Mg 3.00-3.14
Ag: 0.0000 0.0000 0.0000  8 Mg 2.96-3.19, 4 In 3.22-3.29
In: 0.3071 0.3779 0.7651  5 Ag 2.98-3.29, 7 Mg 3.00-3.14
Ag: 0.3445 0.3102 0.4418  2 Ag 2.86-3.20, 6 Mg 2.94-3.13, 3 In 2.98-3.03
Mg: 0.3482 0.3048 0.1114  4 Ag 2.95-3.19, 4 In 3.01-3.14, 4 Mg 3.16-3.26
Mg: 0.0296 0.9505 0.3408  6 Ag 2.94-3.13, 3 Mg 3.00-3.23, 3 In 3.00-3.09
Mg: 0.6518 0.6952 0.8886  4 Ag 2.95-3.19, 4 In 3.01-3.14, 4 Mg 3.16-3.26
Ag: 0.6555 0.6898 0.5582  2 Ag 2.86-3.20, 6 Mg 2.94-3.13, 3 In 2.98-3.03
Mg: 0.9704 0.0495 0.6592  6 Ag 2.94-3.13, 3 Mg 3.00-3.23, 3 In 3.00-3.09

Computed properties:
raw total energy: -21.6 eV for the cell shown

***

Below is a relaxed MgInAg crystal, with properties calculated at the GGA-PBE level.

a = 4.7016 Å, b = 4.7016 Å, c = 4.7016 Å
α = 60.00°, β = 60.00°, γ = 60.00°
With the nearest neighbours (Å) after each atom.
Atoms (fractional coordinates):
Ag: 0.5000 0.5000 0.5000  4 In 2.88
In: 0.7500 0.7500 0.7500  4 Ag 2.88, 4 Mg 2.88
Mg: 0.0000 0.0000 0.0000  4 In 2.88

Computed properties:
raw total energy: -6.9 eV for the cell shown

***

Below is a relaxed Mg5InAg6 crystal, with properties calculated at the GGA-PBE level.

a = 4.6878 Å, b = 8.1296 Å, c = 8.1296 Å
α = 118.40°, β = 106.78°, γ = 106.78°
With the nearest neighbours (Å) after each atom.
Atoms (fractional coordinates):
Ag: 0.2572 0.0877 0.4272  7 Mg 2.86-2.94, 1 In 2.96
Mg: 0.5000 0.5000 0.5000  8 Ag 2.85-2.90
Mg: 0.5000 0.8358 0.1642  8 Ag 2.86-2.94
In: 0.0000 0.0000 0.0000  8 Ag 2.96, 4 Mg 3.28
Ag: 0.2367 0.7365 0.7365  6 Mg 2.85-2.92, 2 In 2.96
Mg: 0.0000 0.6686 0.3314  8 Ag 2.86-2.88
Mg: 0.0000 0.3314 0.6686  8 Ag 2.86-2.88
Ag: 0.7428 0.5728 0.9123  7 Mg 2.86-2.94, 1 In 2.96
Ag: 0.2572 0.4272 0.0877  7 Mg 2.86-2.94, 1 In 2.96
Ag: 0.7428 0.9123 0.5728  7 Mg 2.86-2.94, 1 In 2.96
Ag: 0.7633 0.2635 0.2635  6 Mg 2.85-2.92, 2 In 2.96
Mg: 0.5000 0.1642 0.8358  8 Ag 2.86-2.94

Computed properties:
raw total energy: -30.3 eV for the cell shown

***

Below is a relaxed MgInAg2 crystal, with properties calculated at the GGA-PBE level.

a = 3.2072 Å, b = 4.0411 Å, c = 6.0875 Å
α = 90.00°, β = 90.00°, γ = 90.00°
With the nearest neighbours (Å) after each atom.
Atoms (fractional coordinates):
Mg: 0.5000 0.5000 0.7756  5 Ag 2.86-2.89, 4 In 3.12
Ag: 0.5000 0.5000 0.2454  1 Mg 2.86, 4 In 2.97, 4 Ag 3.01
Ag: 0.0000 0.0000 0.9912  4 Mg 2.89, 6 Ag 3.01-3.21, 2 In 3.02-3.06
In: 0.0000 0.0000 0.4879  6 Ag 2.97-3.06, 4 Mg 3.12, 2 In 3.21

Computed properties:
excess energy over the best structure of this formula in the dataset: 50 meV per atom

***

Below is a relaxed Mg2InAg2 crystal, with properties calculated at the GGA-PBE level.

a = 8.1524 Å, b = 8.1524 Å, c = 3.1254 Å
α = 90.00°, β = 90.00°, γ = 90.00°
With the nearest neighbours (Å) after each atom.
Atoms (fractional coordinates):
Ag: 0.3423 0.1577 0.5000  6 Mg 2.84-2.87, 2 Ag 3.13
Ag: 0.1577 0.6577 0.5000  6 Mg 2.84-2.87, 2 Ag 3.13
Ag: 0.6577 0.8423 0.5000  6 Mg 2.84-2.87, 2 Ag 3.13
Mg: 0.8631 0.6369 0.0000  6 Ag 2.84-2.87, 3 Mg 3.13-3.16, 2 In 3.16
Ag: 0.8423 0.3423 0.5000  6 Mg 2.84-2.87, 2 Ag 3.13
In: 0.5000 0.5000 0.0000  2 In 3.13, 4 Mg 3.16, 8 Ag 3.45
Mg: 0.3631 0.8631 0.0000  6 Ag 2.84-2.87, 3 Mg 3.13-3.16, 2 In 3.16
In: 0.0000 0.0000 0.0000  2 In 3.13, 4 Mg 3.16, 8 Ag 3.45
Mg: 0.6369 0.1369 0.0000  6 Ag 2.84-2.87, 3 Mg 3.13-3.16, 2 In 3.16
Mg: 0.1369 0.3631 0.0000  6 Ag 2.84-2.87, 3 Mg 3.13-3.16, 2 In 3.16

Computed properties:
excess energy over the best structure of this formula in the dataset: 82 meV per atom

***

Below is a relaxed Mg4In2Ag crystal, with properties calculated at the GGA-PBE level.

a = 4.6635 Å, b = 5.9066 Å, c = 5.9066 Å
α = 87.41°, β = 90.00°, γ = 90.00°
With the nearest neighbours (Å) after each atom.
Atoms (fractional coordinates):
Mg: 0.0000 0.6983 0.6983  2 Ag 2.88, 4 In 3.02, 4 Mg 3.13
Mg: 0.0000 0.3017 0.3017  2 Ag 2.88, 4 In 3.02, 4 Mg 3.13
Ag: 0.5000 0.5000 0.5000  8 Mg 2.88-2.95
In: 0.0000 0.8059 0.1941  8 Mg 3.02-3.19, 1 In 3.17
In: 0.0000 0.1941 0.8059  8 Mg 3.02-3.19, 1 In 3.17
Mg: 0.5000 0.5000 0.0000  2 Ag 2.95, 4 Mg 3.13, 4 In 3.19
Mg: 0.5000 0.0000 0.5000  2 Ag 2.95, 4 Mg 3.13, 4 In 3.19

Computed properties:
excess energy over the best structure of this formula in the dataset: 0 meV per atom

***

Below is a relaxed Mg2InAg9 crystal, with properties calculated at the GGA-PBE level.

a = 4.1563 Å, b = 4.1563 Å, c = 12.7372 Å
α = 90.00°, β = 90.00°, γ = 90.00°
With the nearest neighbours (Å) after each atom.
Atoms (fractional coordinates):
Ag: 0.5000 0.5000 0.3348  4 Mg 2.94, 8 Ag 2.94-2.96
Mg: 0.0000 0.0000 0.6665  12 Ag 2.93-2.97
Mg: 0.0000 0.0000 0.3335  12 Ag 2.93-2.97
Ag: 0.0000 0.5000 0.1710  2 Mg 2.93, 8 Ag 2.94-3.01, 2 In 3.01
Ag: 0.5000 0.5000 0.6652  4 Mg 2.94, 8 Ag 2.94-2.96
Ag: 0.5000 0.0000 0.8290  2 Mg 2.93, 8 Ag 2.94-3.01, 2 In 3.01
Ag: 0.5000 0.0000 0.5000  8 Ag 2.94-2.96, 4 Mg 2.97
In: 0.0000 0.0000 0.0000  12 Ag 2.94-3.01
Ag: 0.0000 0.5000 0.5000  8 Ag 2.94-2.96, 4 Mg 2.97
Ag: 0.5000 0.5000 0.0000  4 In 2.94, 8 Ag 3.01
Ag: 0.5000 0.0000 0.1710  2 Mg 2.93, 8 Ag 2.94-3.01, 2 In 3.01
Ag: 0.0000 0.5000 0.8290  2 Mg 2.93, 8 Ag 2.94-3.01, 2 In 3.01

Computed properties:
raw total energy: -32.8 eV for the cell shown

***

Below is a relaxed Mg2InAg5 crystal, with properties calculated at the GGA-PBE level.

a = 5.0117 Å, b = 6.3658 Å, c = 6.3658 Å
α = 90.00°, β = 90.00°, γ = 90.00°
With the nearest neighbours (Å) after each atom.
Atoms (fractional coordinates):
In: 0.0000 0.0000 0.0000  6 Ag 2.51-2.62
Ag: 0.0000 0.7088 0.7088  1 In 2.62, 2 Ag 2.66
Mg: 0.5000 0.0000 0.5000  10 Ag 3.18-3.39
Ag: 0.5000 0.0000 0.0000  2 In 2.51
Ag: 0.0000 0.7088 0.2912  1 In 2.62, 2 Ag 2.66
Ag: 0.0000 0.2912 0.2912  1 In 2.62, 2 Ag 2.66
Mg: 0.5000 0.5000 0.0000  10 Ag 3.18-3.39
Ag: 0.0000 0.2912 0.7088  1 In 2.62, 2 Ag 2.66

Computed properties:
excess energy over the best structure of this formula in the dataset: 497 meV per atom

***

Below is a relaxed MgInAg crystal, with properties calculated at the GGA-PBE level.

a = 3.4681 Å, b = 4.0336 Å, c = 9.0112 Å
α = 89.94°, β = 90.01°, γ = 89.98°
With the nearest neighbours (Å) after each atom.
Atoms (fractional coordinates):
In: 0.7500 0.7499 0.4094  1 Ag 2.92, 4 In 3.12, 4 Mg 3.15-3.16
Mg: 0.7500 0.7503 0.7789  5 Ag 2.76-2.93
Mg: 0.2500 0.2497 0.2211  5 Ag 2.76-2.93
Ag: 0.2500 0.2503 0.9150  5 Mg 2.76-2.93, 1 In 2.92, 4 Ag 3.07
Ag: 0.7500 0.7497 0.0850  5 Mg 2.76-2.93, 1 In 2.92, 4 Ag 3.07
In: 0.2500 0.2501 0.5906  1 Ag 2.92, 4 In 3.12, 4 Mg 3.15-3.16

Computed properties:
raw total energy: -15.0 eV for the cell shown